No. 1
A plane-wave DFT calculation with PBE was carried out for NaTl2Bi6 after structural relaxation.

## Properties
Space-group type = No. 65
Crystal system = orthorhombic
Energy of formation from the pure elements = -0.074 eV per atom

```
NaTl2Bi6
1.0
4.982 -8.639 0.000
4.982 8.639 0.000
0.000 0.000 3.366
Na Tl Bi
1 2 6
Cartesian
0.000 0.000 0.000
4.982 2.883 0.000
4.982 -2.883 0.000
1.623 2.813 1.683
8.341 -2.813 1.683
1.623 -2.813 1.683
3.248 0.000 1.683
8.341 2.813 1.683
6.716 0.000 1.683
```

No. 2
A plane-wave DFT calculation with PBE was carried out for Ba2CuHgP after structural relaxation.

## Properties
Space-group type = No. 123
Crystal system = tetragonal
Energy of formation from the pure elements = -0.478 eV per atom

```
Ba2CuHgP
1.0
6.310 0.000 0.000
0.000 6.310 0.000
0.000 0.000 4.340
Ba Cu Hg P
2 1 1 1
Cartesian
0.000 3.155 0.000
3.155 0.000 0.000
0.000 0.000 2.170
3.155 3.155 2.170
0.000 0.000 0.000
```

No. 3
A plane-wave DFT calculation with PBE was carried out for MnReAs2 after structural relaxation.

## Properties
Space-group type = No. 12
E above lowest polymorph = 66 kJ/mol of formula units
Crystal system = monoclinic
Energy of formation from the pure elements = 0.227 eV per atom

```
MnReAs2
1.0
8.066 0.000 0.000
0.000 3.169 0.000
-0.580 0.000 4.965
Mn Re As
2 2 4
Cartesian
0.000 0.000 0.000
4.033 1.584 0.000
-0.290 1.584 2.483
3.743 0.000 2.483
1.427 0.000 3.636
2.026 1.584 1.329
5.459 1.584 3.636
6.059 0.000 1.329
```

No. 4
A plane-wave DFT calculation with PBE was carried out for SrCePaO6 after structural relaxation.

## Properties
Space-group type = No. 149
Raw total energy = -73.82 eV for the cell shown
Crystal system = trigonal

```
SrCePaO6
1.0
5.965 0.000 0.000
-2.982 5.165 0.000
0.000 0.000 4.755
Sr Ce Pa O
1 1 1 6
Cartesian
0.000 0.000 0.000
2.982 1.722 0.000
0.000 3.444 2.377
-1.050 1.934 3.574
-1.832 3.289 1.181
1.050 1.934 1.181
-0.782 5.107 3.574
1.832 3.289 3.574
0.782 5.107 1.181
```

No. 5
A plane-wave DFT calculation with PBE was carried out for CuIrPt2 after structural relaxation.

## Properties
Space-group type = No. 122
E above lowest polymorph = 163 kJ/mol of formula units
Crystal system = tetragonal
Energy of formation from the pure elements = 0.369 eV per atom

```
CuIrPt2
1.0
3.785 0.000 0.000
0.000 3.785 0.000
0.000 0.000 17.835
Cu Ir Pt
4 4 8
Cartesian
0.000 0.000 0.000
0.000 1.892 4.459
1.892 0.000 13.376
1.892 1.892 8.917
0.000 0.000 8.917
0.000 1.892 13.376
1.892 0.000 4.459
1.892 1.892 0.000
0.941 0.946 11.147
0.946 2.833 15.606
0.946 2.844 6.688
0.952 0.946 2.229
2.833 2.839 2.229
2.839 0.941 6.688
2.839 0.952 15.606
2.844 2.839 11.147
```

No. 6
A plane-wave DFT calculation with PBE was carried out for KZnAu2 after structural relaxation.

## Properties
Space-group type = No. 141
Crystal system = tetragonal
Energy of formation from the pure elements = -0.208 eV per atom

```
KZnAu2
1.0
5.374 0.000 0.000
0.000 5.374 0.000
0.000 0.000 17.474
K Zn Au
4 4 8
Cartesian
0.000 1.344 6.553
0.000 4.031 10.921
2.687 1.344 2.184
2.687 4.031 15.290
0.000 1.344 15.290
0.000 4.031 2.184
2.687 1.344 10.921
2.687 4.031 6.553
0.000 0.000 0.000
0.000 2.687 0.000
1.344 1.344 13.105
1.344 4.031 4.368
2.687 0.000 8.737
2.687 2.687 8.737
4.031 1.344 13.105
4.031 4.031 4.368
```

No. 7
A plane-wave DFT calculation with PBE was carried out for SiP2N after structural relaxation.

## Properties
Space-group type = No. 225
E above lowest polymorph = 264 kJ/mol of formula units
Crystal system = cubic

```
SiP2N
1.0
5.783 0.000 0.000
0.000 5.783 0.000
0.000 0.000 5.783
Si P N
4 8 4
Cartesian
0.000 0.000 0.000
0.000 2.892 2.892
2.892 0.000 2.892
2.892 2.892 0.000
1.446 1.446 1.446
1.446 1.446 4.338
1.446 4.338 1.446
1.446 4.338 4.338
4.338 1.446 1.446
4.338 1.446 4.338
4.338 4.338 1.446
4.338 4.338 4.338
0.000 0.000 2.892
0.000 2.892 0.000
2.892 0.000 0.000
2.892 2.892 2.892
```

No. 8
A plane-wave DFT calculation with PBE was carried out for Na4Pm3AgO8 after structural relaxation.

## Properties
Space-group type = No. 12
Raw total energy = -95.92 eV for the cell shown
Crystal system = monoclinic

```
Na4Pm3AgO8
1.0
6.263 -3.398 0.000
6.263 3.398 0.000
-3.652 0.000 5.697
Na Pm Ag O
4 3 1 8
Cartesian
0.000 0.000 0.000
3.132 1.699 0.000
3.132 -1.699 0.000
6.263 0.000 0.000
-1.826 0.000 2.848
1.306 1.699 2.848
1.306 -1.699 2.848
4.438 0.000 2.848
1.829 0.000 1.352
0.206 0.000 4.062
3.476 1.515 3.969
5.399 1.515 1.728
3.476 -1.515 3.969
5.399 -1.515 1.728
8.669 0.000 1.635
7.047 0.000 4.345
```

No. 9
A plane-wave DFT calculation with PBE was carried out for PaNiIr after structural relaxation.

## Properties
Space-group type = No. 187
E above lowest polymorph = 53 kJ/mol of formula units
Crystal system = hexagonal
Energy of formation from the pure elements = -0.469 eV per atom

```
PaNiIr
1.0
4.276 0.000 0.000
-2.138 3.703 0.000
0.000 0.000 3.461
Pa Ni Ir
1 1 1
Cartesian
0.000 0.000 0.000
0.000 2.469 1.731
2.138 1.234 1.731
```

No. 10
A plane-wave DFT calculation with PBE was carried out for ScRhBr after structural relaxation.

## Properties
Space-group type = No. 42
E above lowest polymorph = 28 kJ/mol of formula units
Crystal system = orthorhombic

```
ScRhBr
1.0
4.533 0.000 0.000
0.000 4.555 0.000
0.000 0.000 11.520
Sc Rh Br
4 4 4
Cartesian
0.000 0.000 0.000
0.000 2.278 5.760
2.267 0.000 5.760
2.267 2.278 0.000
0.000 0.000 4.260
0.000 2.278 10.020
2.267 0.000 10.020
2.267 2.278 4.260
0.000 0.000 7.653
0.000 2.278 1.892
2.267 0.000 1.892
2.267 2.278 7.653
```

No. 11
A plane-wave DFT calculation with PBE was carried out for ReNi2Hg after structural relaxation.

## Properties
Space-group type = No. 65
Crystal system = orthorhombic
Energy of formation from the pure elements = 0.427 eV per atom

```
ReNi2Hg
1.0
5.829 0.000 0.000
0.000 7.211 0.000
0.000 0.000 2.708
Re Ni Hg
2 4 2
Cartesian
0.000 0.000 0.000
2.914 3.606 0.000
1.457 1.803 1.354
1.457 5.409 1.354
4.371 1.803 1.354
4.371 5.409 1.354
0.000 3.606 0.000
2.914 0.000 0.000
```

No. 12
A plane-wave DFT calculation with PBE was carried out for YCuTc2 after structural relaxation.

## Properties
Space-group type = No. 71
E above lowest polymorph = 111 kJ/mol of formula units
Crystal system = orthorhombic
Energy of formation from the pure elements = 0.312 eV per atom

```
YCuTc2
1.0
3.309 0.000 0.000
0.000 4.363 0.000
0.000 0.000 9.435
Y Cu Tc
2 2 4
Cartesian
0.000 0.000 0.000
1.654 2.182 4.717
0.000 0.000 4.717
1.654 2.182 0.000
0.000 2.182 2.269
0.000 2.182 7.166
1.654 0.000 2.448
1.654 0.000 6.987
```

| no. | spin magnetization (μB/cell) |
| --- | --- |
| 1 | 0.00 |
| 2 | 0.00 |
| 3 | 6.96 |
| 4 | 0.41 |
| 5 | 0.00 |
| 6 | 0.00 |
| 7 | 2.44 |
| 8 | 0.07 |
| 9 | 0.00 |
| 10 | 0.00 |
| 11 | 1.94 |
| 12 | 0.00 |